1.
Below is an optimized crystal structure of Al2FeIr, with properties calculated at the GGA-PBE level.

Computed properties:
Calculated volume = 15.25 A^3/atom
Formation energy = 0.047 eV per atom

Geometry as POSCAR:
```
Al2FeIr
1.0
-3.372 3.372 2.682
3.372 -3.372 2.682
3.372 3.372 -2.682
Al Fe Ir
4 2 2
Direct
0.121 0.625 0.996 Al
0.375 0.371 0.496 Al
0.629 0.125 0.004 Al
0.875 0.879 0.504 Al
0.250 0.750 0.500 Fe
0.500 0.500 0.000 Fe
0.000 0.000 0.000 Ir
0.750 0.250 0.500 Ir
```

=====

2.
Below is an optimized crystal structure of Al2Fe2Ir, with properties calculated at the GGA-PBE level.

Computed properties:
Energy above the most stable polymorph in this dataset = 0.0 meV/atom
Calculated volume = 13.16 A^3/atom
Formation energy = -0.168 eV per atom

Geometry as POSCAR:
```
Al2Fe2Ir
1.0
6.657 0.000 0.000
0.000 6.657 0.000
0.000 0.000 2.970
Al Fe Ir
4 4 2
Direct
0.139 0.361 0.000 Al
0.361 0.861 0.000 Al
0.639 0.139 0.000 Al
0.861 0.639 0.000 Al
0.160 0.660 0.500 Fe
0.340 0.160 0.500 Fe
0.660 0.840 0.500 Fe
0.840 0.340 0.500 Fe
0.000 0.000 0.000 Ir
0.500 0.500 0.000 Ir
```

=====

3.
Below is an optimized crystal structure of Al2FeIr, with properties calculated at the GGA-PBE level.

Computed properties:
Calculated volume = 13.66 A^3/atom
Formation energy = -0.480 eV per atom

Geometry as POSCAR:
```
Al2FeIr
1.0
-1.836 1.836 4.055
1.836 -1.836 4.055
1.836 1.836 -4.055
Al Fe Ir
2 1 1
Direct
0.000 0.000 0.000 Al
0.750 0.250 0.500 Al
0.250 0.750 0.500 Fe
0.500 0.500 0.000 Ir
```

=====

4.
Below is an optimized crystal structure of AlFeIr4, with properties calculated at the GGA-PBE level.

Computed properties:
Calculated volume = 16.00 A^3/atom
Formation energy = 0.280 eV per atom

Geometry as POSCAR:
```
AlFeIr4
1.0
0.000 3.635 3.635
3.635 0.000 3.635
3.635 3.635 0.000
Al Fe Ir
1 1 4
Direct
0.000 0.000 0.000 Al
0.750 0.750 0.750 Fe
0.375 0.375 0.375 Ir
0.375 0.375 0.875 Ir
0.375 0.875 0.375 Ir
0.875 0.375 0.375 Ir
```

=====

5.
Below is an optimized crystal structure of LaAlFe2Ir, with properties calculated at the GGA-PBE level.

Computed properties:
Calculated volume = 20.99 A^3/atom
Formation energy = 0.962 eV per atom

Geometry as POSCAR:
```
LaAlFe2Ir
1.0
4.321 0.000 0.000
0.000 4.321 0.000
0.000 0.000 5.621
La Al Fe Ir
1 1 2 1
Direct
0.000 0.000 0.000 La
0.000 0.000 0.500 Al
0.000 0.500 0.500 Fe
0.500 0.000 0.500 Fe
0.500 0.500 0.000 Ir
```

=====

6.
Below is an optimized crystal structure of LaAlFeIr2, with properties calculated at the GGA-PBE level.

Computed properties:
Calculated volume = 21.85 A^3/atom
Formation energy = 0.839 eV per atom

Geometry as POSCAR:
```
LaAlFeIr2
1.0
4.529 0.000 0.000
0.000 4.529 0.000
0.000 0.000 5.325
La Al Fe Ir
1 1 1 2
Direct
0.000 0.000 0.000 La
0.000 0.000 0.500 Al
0.500 0.500 0.000 Fe
0.000 0.500 0.500 Ir
0.500 0.000 0.500 Ir
```

=====

7.
Below is an optimized crystal structure of MgAlFeIr, with properties calculated at the GGA-PBE level.

Computed properties:
Calculated volume = 14.44 A^3/atom
Formation energy = -0.291 eV per atom

Geometry as POSCAR:
```
MgAlFeIr
1.0
0.000 3.068 3.068
3.068 0.000 3.068
3.068 3.068 0.000
Mg Al Fe Ir
1 1 1 1
Direct
0.000 0.000 0.000 Mg
0.750 0.750 0.750 Al
0.250 0.250 0.250 Fe
0.500 0.500 0.500 Ir
```

=====

8.
Below is an optimized crystal structure of RbAlFe2Ir, with properties calculated at the GGA-PBE level.

Computed properties:
Calculated volume = 24.91 A^3/atom
Formation energy = 1.661 eV per atom

Geometry as POSCAR:
```
RbAlFe2Ir
1.0
4.569 0.000 0.000
0.000 4.569 0.000
0.000 0.000 5.966
Rb Al Fe Ir
1 1 2 1
Direct
0.000 0.000 0.000 Rb
0.500 0.500 0.000 Al
0.000 0.500 0.500 Fe
0.500 0.000 0.500 Fe
0.000 0.000 0.500 Ir
```

=====

9.
Below is an optimized crystal structure of Al2FeIrRh, with properties calculated at the GGA-PBE level.

Computed properties:
Calculated volume = 20.55 A^3/atom
Formation energy = 0.787 eV per atom

Geometry as POSCAR:
```
Al2FeIrRh
1.0
4.597 0.000 0.000
0.000 4.597 0.000
0.000 0.000 4.863
Al Fe Ir Rh
2 1 1 1
Direct
0.000 0.500 0.000 Al
0.500 0.000 0.000 Al
0.000 0.000 0.500 Fe
0.500 0.500 0.000 Ir
0.500 0.500 0.500 Rh
```

=====

10.
Below is an optimized crystal structure of AlFeIrS2, with properties calculated at the GGA-PBE level.

Computed properties:
Calculated volume = 20.58 A^3/atom
ΔE_f (raw) = 66.0 kJ per mole of atoms

Geometry as POSCAR:
```
AlFeIrS2
1.0
4.616 0.000 0.000
0.000 4.616 0.000
0.000 0.000 4.831
Al Fe Ir S
1 1 1 2
Direct
0.000 0.000 0.000 Al
0.500 0.500 0.000 Fe
0.500 0.500 0.500 Ir
0.000 0.500 0.500 S
0.500 0.000 0.500 S
```

=====

11.
Below is an optimized crystal structure of ScAlFeIr2, with properties calculated at the GGA-PBE level.

Computed properties:
Calculated volume = 21.21 A^3/atom
Formation energy = 1.456 eV per atom

Geometry as POSCAR:
```
ScAlFeIr2
1.0
4.652 0.000 0.000
0.000 4.652 0.000
0.000 0.000 4.900
Sc Al Fe Ir
1 1 1 2
Direct
0.000 0.000 0.000 Sc
0.000 0.000 0.500 Al
0.500 0.500 0.500 Fe
0.000 0.500 0.000 Ir
0.500 0.000 0.000 Ir
```

=====

12.
Below is an optimized crystal structure of AlFeSiIr, with properties calculated at the GGA-PBE level.

Computed properties:
Calculated volume = 12.28 A^3/atom
ΔE_f (raw) = -56.1 kJ per mole of atoms

Geometry as POSCAR:
```
AlFeSiIr
1.0
0.000 2.907 2.907
2.907 0.000 2.907
2.907 2.907 0.000
Al Fe Si Ir
1 1 1 1
Direct
0.000 0.000 0.000 Al
0.250 0.250 0.250 Fe
0.500 0.500 0.500 Si
0.750 0.750 0.750 Ir
```

=====

Q: calculated volume of number 4 (AlFeIr4)?
A: 16.00 A^3/atom

=====

Q: The lowest calculated volume belongs to which entry?
A: AlFeSiIr

=====

Q: Number 11 is which compound?
A: ScAlFeIr2

=====

Q: Number 11 is which compound?
A: ScAlFeIr2